1.
Material: InIrCl2
Method: DFT, GGA-PBE
State: optimized geometry

Summary:
For the relative energy among the computed polymorphs, the calculation gives 946.9 meV per atom. The uncorrected formation energy comes out at 63 kJ per mole of atoms.

a = 6.9321 Å, b = 6.9321 Å, c = 6.9321 Å
α = 90.00°, β = 90.00°, γ = 90.00°
Space group Fm-3m (No. 225)
One atom of each set of equivalent atoms:
In (0.0000, 0.0000, 0.0000) [4 per cell]
Ir (0.0000, 0.0000, 0.5000) [4 per cell]
Cl (0.2500, 0.2500, 0.2500) [8 per cell]


2.
Material: KInIr2Cl
Method: DFT, GGA-PBE
State: optimized geometry

Summary:
The uncorrected formation energy comes out at 214 kJ per mole of atoms.

a = 4.9842 Å, b = 4.9842 Å, c = 6.6735 Å
α = 90.00°, β = 90.00°, γ = 90.00°
Space group P4/mmm (No. 123)
One atom of each set of equivalent atoms:
K (0.0000, 0.0000, 0.0000) [1 per cell]
In (0.0000, 0.0000, 0.5000) [1 per cell]
Ir (0.0000, 0.5000, 0.0000) [2 per cell]
Cl (0.5000, 0.5000, 0.5000) [1 per cell]


Number 1: total magnetic moment 2.0 μB/f.u.. Number 2: total magnetic moment 2.7 μB/f.u..